A plane-wave DFT calculation with PBE-GGA was carried out for a relaxed structure of YAlMo.

Cell: 5.5544 5.5544 5.5544 Å, 144.83 141.55 53.09°
Last column: nearest neighbours and their distance in Å.
Fractional positions:
Y 0.6705 0.6705 0.0000  5 Al 2.93-3.21, 5 Mo 3.04-3.14
Mo 0.3641 0.3641 0.0000  4 Al 2.68
Al 0.9654 0.9654 0.0000  4 Mo 2.68, 1 Y 2.93

Summary:
E_form = 0.016 eV per atom
Symmetry = Imm2 (44)
Energy above the most stable polymorph in this dataset = 15.5 kJ/mol of formula units

A plane-wave DFT calculation with PBE-GGA was carried out for a relaxed structure of V5Re4Os.

Cell: 3.0357 3.0357 15.1835 Å, 90.00 90.00 90.00°
Last column: nearest neighbours and their distance in Å.
Fractional positions:
V 0.5000 0.5000 0.1016  4 Re 2.61, 4 Os 2.64
V 0.5000 0.5000 0.3002  8 Re 2.62-2.64
V 0.5000 0.5000 0.5000  8 Re 2.63
V 0.5000 0.5000 0.6998  8 Re 2.62-2.64
V 0.5000 0.5000 0.8984  4 Re 2.61, 4 Os 2.64
Re 0.0000 0.0000 0.1992  8 V 2.61-2.64
Re 0.0000 0.0000 0.3997  8 V 2.62-2.63
Re 0.0000 0.0000 0.6003  8 V 2.62-2.63
Re 0.0000 0.0000 0.8008  8 V 2.61-2.64
Os 0.0000 0.0000 0.0000  8 V 2.64

Summary:
E_form = -0.340 eV per atom
Symmetry = P4/mmm (123)

A plane-wave DFT calculation with PBE-GGA was carried out for a relaxed structure of Pu2Ge2Ru3.

Cell: 7.0274 7.0271 7.0272 Å, 109.47 109.47 109.47°
Last column: nearest neighbours and their distance in Å.
Fractional positions:
Pu 0.0000 0.0000 0.4865  6 Ru 2.81-2.86, 1 Ge 2.87
Pu 0.5000 0.4865 0.5000  6 Ru 2.81-2.86, 1 Ge 2.87
Pu 0.5135 0.0135 0.0135  6 Ru 2.81-2.86, 1 Ge 2.87
Pu 0.9865 0.5000 0.0000  6 Ru 2.81-2.86, 1 Ge 2.87
Ge 0.0000 0.0000 0.8946  3 Ru 2.53
Ge 0.5000 0.8946 0.5000  3 Ru 2.53
Ge 0.1054 0.6054 0.6054  3 Ru 2.53
Ge 0.3946 0.5000 0.0000  3 Ru 2.53
Ru 0.7475 0.7500 0.9975  2 Ge 2.53, 2 Pu 2.81
Ru 0.7525 0.2500 0.5025  2 Ge 2.53, 2 Pu 2.81
Ru 0.0025 0.2524 0.2500  2 Ge 2.53, 2 Pu 2.81
Ru 0.4975 0.2475 0.7500  2 Ge 2.53, 2 Pu 2.81
Ru 0.2500 0.9976 0.2475  2 Ge 2.53, 2 Pu 2.81
Ru 0.7500 0.5024 0.2525  2 Ge 2.53, 2 Pu 2.81

Summary:
E_form = -0.168 eV per atom
Symmetry = I2_13 (199)

A plane-wave DFT calculation with PBE-GGA was carried out for a relaxed structure of ZrCdRu.

Cell: 4.5157 4.5157 4.5157 Å, 60.00 60.00 60.00°
Last column: nearest neighbours and their distance in Å.
Fractional positions:
Cd 0.5000 0.5000 0.5000  4 Ru 2.77
Ru 0.7500 0.7500 0.7500  4 Cd 2.77, 4 Zr 2.77
Zr 0.0000 0.0000 0.0000  4 Ru 2.77

Summary:
E_form = 0.072 eV per atom
Symmetry = F-43m (216)
Energy above the most stable polymorph in this dataset = 105.9 kJ/mol of formula units

A plane-wave DFT calculation with PBE-GGA was carried out for a relaxed structure of MnCdSb.

Cell: 4.3116 4.3116 4.4357 Å, 90.00 90.00 120.00°
Last column: nearest neighbours and their distance in Å.
Fractional positions:
Cd 0.0000 0.0000 0.0244  3 Mn 2.89, 3 Sb 3.07
Mn 0.6667 0.3333 0.3569  3 Sb 2.75, 3 Cd 2.89
Sb 0.3333 0.6667 0.6187  3 Mn 2.75, 3 Cd 3.07

Summary:
Symmetry = P3m1 (156)
Energy above the most stable polymorph in this dataset = 49.6 kJ/mol of formula units
Raw formation energy = 0.895 eV/f.u.

A plane-wave DFT calculation with PBE-GGA was carried out for a relaxed structure of Na4CdHg6.

Cell: 6.2175 9.0412 6.2175 Å, 69.89 90.00 110.11°
Last column: nearest neighbours and their distance in Å.
Fractional positions:
Na 0.6183 0.6552 0.3817  5 Hg 3.12-3.32, 1 Cd 3.29
Na 0.9631 0.3448 0.6183  5 Hg 3.12-3.32, 1 Cd 3.29
Na 0.0369 0.6552 0.9631  5 Hg 3.12-3.32, 1 Cd 3.29
Na 0.3817 0.3448 0.0369  5 Hg 3.12-3.32, 1 Cd 3.29
Cd 0.0000 0.0000 0.0000  8 Hg 3.11-3.38, 4 Na 3.29
Hg 0.4354 0.2602 0.5646  2 Hg 3.05, 5 Na 3.12-3.32, 1 Cd 3.38
Hg 0.8248 0.2602 0.1752  2 Hg 3.05, 5 Na 3.12-3.32, 1 Cd 3.38
Hg 0.5646 0.7398 0.8248  2 Hg 3.05, 5 Na 3.12-3.32, 1 Cd 3.38
Hg 0.0000 0.0000 0.5000  4 Hg 3.05, 2 Cd 3.11
Hg 0.1752 0.7398 0.4354  2 Hg 3.05, 5 Na 3.12-3.32, 1 Cd 3.38
Hg 0.5000 0.0000 0.0000  4 Hg 3.05, 2 Cd 3.11

Summary:
E_form = -0.152 eV per atom
Symmetry = I-42m (121)

A plane-wave DFT calculation with PBE-GGA was carried out for a relaxed structure of Sc5Ag.

Cell: 7.0276 7.0276 7.7259 Å, 117.05 117.05 90.00°
Last column: nearest neighbours and their distance in Å.
Fractional positions:
Sc 0.0000 0.0000 0.0000  2 Ag 2.96, 8 Sc 3.14
Sc 0.5000 0.5000 0.0000  2 Ag 2.96, 8 Sc 3.14
Sc 0.2992 0.7992 0.2847  2 Ag 2.94, 4 Sc 3.12-3.15
Sc 0.4854 0.2992 0.2847  2 Ag 2.94, 4 Sc 3.12-3.15
Sc 0.7992 0.9854 0.2847  2 Ag 2.94, 4 Sc 3.12-3.15
Sc 0.5146 0.7008 0.7153  2 Ag 2.94, 4 Sc 3.12-3.15
Sc 0.2008 0.0146 0.7153  2 Ag 2.94, 4 Sc 3.12-3.15
Sc 0.0146 0.5146 0.7153  2 Ag 2.94, 4 Sc 3.12-3.15
Sc 0.7008 0.2008 0.7153  2 Ag 2.94, 4 Sc 3.12-3.15
Sc 0.9854 0.4854 0.2847  2 Ag 2.94, 4 Sc 3.12-3.15
Ag 0.2500 0.2500 0.5000  10 Sc 2.94-2.96
Ag 0.7500 0.7500 0.5000  10 Sc 2.94-2.96

Summary:
E_form = 0.150 eV per atom
Symmetry = I4/mcm (140)
Energy above the most stable polymorph in this dataset = 113.5 kJ/mol of formula units

A plane-wave DFT calculation with PBE-GGA was carried out for a relaxed structure of Cr2Co2Os.

Cell: 6.7203 6.7203 2.5905 Å, 90.00 90.00 90.00°
Last column: nearest neighbours and their distance in Å.
Fractional positions:
Co 0.3767 0.8767 0.0000  6 Cr 2.32-2.41, 3 Co 2.34-2.59
Co 0.8767 0.6233 0.0000  6 Cr 2.32-2.41, 3 Co 2.34-2.59
Co 0.6233 0.1233 0.0000  6 Cr 2.32-2.41, 3 Co 2.34-2.59
Co 0.1233 0.3767 0.0000  6 Cr 2.32-2.41, 3 Co 2.34-2.59
Os 0.0000 0.0000 0.0000  2 Os 2.59, 4 Co 2.66, 8 Cr 2.80
Os 0.5000 0.5000 0.0000  2 Os 2.59, 4 Co 2.66, 8 Cr 2.80
Cr 0.1740 0.6740 0.5000  6 Co 2.32-2.41, 2 Cr 2.59
Cr 0.6740 0.8260 0.5000  6 Co 2.32-2.41, 2 Cr 2.59
Cr 0.8260 0.3260 0.5000  6 Co 2.32-2.41, 2 Cr 2.59
Cr 0.3260 0.1740 0.5000  6 Co 2.32-2.41, 2 Cr 2.59

Summary:
E_form = 0.134 eV per atom
Symmetry = P4/mbm (127)
Energy above the most stable polymorph in this dataset = 0.0 kJ/mol of formula units

no.,total moment (μB/atom),ρ (Mg/m³),E_tot (eV per atom)
1,0.00,5.77,-6.996
2,0.00,14.12,-11.001
3,1.12,11.64,-9.558
4,0.00,7.77,-6.174
5,1.39,6.72,-4.437
6,0.00,7.66,-0.879
7,0.00,3.78,-5.601
8,0.00,11.70,-8.804